The following is a DFT calculation (PBE-GGA) of an optimized crystal structure of CrFe2SiSe.

Values from the calculation:
N(E_F) (states/eV per cell): 9.0
Total magnetic moment (μB per atom): 0.963
Uncorrected formation energy (eV per atom): 1.088
Electronic total energy (eV per atom): -6.00
Density (Mg/m³): 5.2

Cell lengths 4.2113, 4.2113, 4.8902 Å; angles 90.00, 90.00, 90.00 degrees
Closest atoms and distances in Å follow each position.
Space group P4/mmm (No. 123)
Unique sites:
Cr 0.0000 0.0000 0.0000 [1 per cell]  4 Se 2.98, 8 Fe 3.23
Fe 0.0000 0.5000 0.5000 [2 per cell]  2 Si 2.11
Si 0.5000 0.5000 0.5000 [1 per cell]  4 Fe 2.11
Se 0.5000 0.5000 0.0000 [1 per cell]  2 Si 2.45